A geometry-optimized Sr3PdCl structure. Source: Alexandria via LeMat-Bulk, functional PBE.

The space group is Pm-3m (No. 221) and the conventional cell measures 5.960, 5.960 and 5.960 Å, with angles of 90.00, 90.00 and 90.00 degrees. The inequivalent atoms are Sr at (0.000, 0.000, 0.500), Pd at (0.000, 0.000, 0.000) and Cl at (0.500, 0.500, 0.500).

The volume comes out at 42.3 Å³/atom. For the energy above the lowest structure with this stoichiometry, the calculation gives 0.000 eV/atom. The value obtained for the raw total energy is -3.059 eV/atom. For the density of states at the Fermi level, the calculation gives 2.00 states/eV per cell. For the uncorrected formation energy, the calculation gives -0.642 eV per atom.